# Li2TbMg, relaxed, DFT PBE
data_Li2TbMg
_symmetry_space_group_name_H-M 'R 3 m'
_symmetry_Int_Tables_number 160
_symmetry_space_group_name_Hall 'R 3 -2"'
_cell_length_a 3.2949
_cell_length_b 3.2949
_cell_length_c 31.2186
_cell_angle_alpha 90.00
_cell_angle_beta 90.00
_cell_angle_gamma 120.00
loop_
_atom_site_label
_atom_site_type_symbol
_atom_site_fract_x
_atom_site_fract_y
_atom_site_fract_z
Li1 Li 0.0000 0.0000 0.0000
Li2 Li 0.0000 0.0000 0.1772
Tb1 Tb 0.0000 0.0000 0.4217
Mg1 Mg 0.0000 0.0000 0.5889
# - offset from the most stable computed form (kJ/mol of atoms) = 3.29
# - calculated formation energy (eV/atom) = 0.10
# - E_tot (eV/atom) = -2.4149

---

# Li2Tb2Mg15, relaxed, DFT PBE
data_Li2Tb2Mg15
_symmetry_space_group_name_H-M 'R -3 m'
_symmetry_Int_Tables_number 166
_symmetry_space_group_name_Hall '-R 3 2"'
_cell_length_a 10.2076
_cell_length_b 10.2076
_cell_length_c 15.1548
_cell_angle_alpha 90.00
_cell_angle_beta 90.00
_cell_angle_gamma 120.00
loop_
_atom_site_label
_atom_site_type_symbol
_atom_site_fract_x
_atom_site_fract_y
_atom_site_fract_z
Li1 Li 0.0000 0.0000 0.0972
Tb1 Tb 0.0000 0.0000 0.3314
Mg1 Mg 0.0000 0.3096 0.0000
Mg2 Mg 0.0000 0.5000 0.5000
Mg3 Mg 0.0066 0.5033 0.1539
# - calculated formation energy (eV/atom) = -0.01
# - E_tot (eV/atom) = -1.9588

---

# Li2Tb3Mg7, relaxed, DFT PBE
data_Li2Tb3Mg7
_symmetry_space_group_name_H-M 'R -3 m'
_symmetry_Int_Tables_number 166
_symmetry_space_group_name_Hall '-R 3 2"'
_cell_length_a 6.0242
_cell_length_b 6.0242
_cell_length_c 28.3671
_cell_angle_alpha 90.00
_cell_angle_beta 90.00
_cell_angle_gamma 120.00
loop_
_atom_site_label
_atom_site_type_symbol
_atom_site_fract_x
_atom_site_fract_y
_atom_site_fract_z
Li1 Li 0.0000 0.0000 0.1663
Tb1 Tb 0.0000 0.0000 0.3601
Tb2 Tb 0.0000 0.0000 0.5000
Mg1 Mg 0.0000 0.0000 0.0000
Mg2 Mg 0.0041 0.5021 0.4197
# - offset from the most stable computed form (kJ/mol of atoms) = 0.00
# - calculated formation energy (eV/atom) = -0.02
# - E_tot (eV/atom) = -2.4282

---

# LiTbMg4, relaxed, DFT PBE
data_LiTbMg4
_symmetry_space_group_name_H-M 'C m c m'
_symmetry_Int_Tables_number 63
_symmetry_space_group_name_Hall '-C 2c 2'
_cell_length_a 3.3230
_cell_length_b 18.6022
_cell_length_c 9.3097
_cell_angle_alpha 90.00
_cell_angle_beta 90.00
_cell_angle_gamma 90.00
loop_
_atom_site_label
_atom_site_type_symbol
_atom_site_fract_x
_atom_site_fract_y
_atom_site_fract_z
Li1 Li 0.0000 0.2445 0.2500
Tb1 Tb 0.0000 0.1003 0.7500
Mg1 Mg 0.0000 0.0795 0.2500
Mg2 Mg 0.0000 0.3246 0.5259
Mg3 Mg 0.0000 0.5000 0.0000
# - offset from the most stable computed form (kJ/mol of atoms) = 5.17
# - calculated formation energy (eV/atom) = -0.01
# - E_tot (eV/atom) = -2.1601

---

# Li3TbMg4, relaxed, DFT PBE
data_Li3TbMg4
_symmetry_space_group_name_H-M 'P 4/m m m'
_symmetry_Int_Tables_number 123
_symmetry_space_group_name_Hall '-P 4 2'
_cell_length_a 3.4857
_cell_length_b 3.4857
_cell_length_c 14.6375
_cell_angle_alpha 90.00
_cell_angle_beta 90.00
_cell_angle_gamma 90.00
loop_
_atom_site_label
_atom_site_type_symbol
_atom_site_fract_x
_atom_site_fract_y
_atom_site_fract_z
Li1 Li 0.0000 0.0000 0.0000
Li2 Li 0.0000 0.0000 0.2312
Tb1 Tb 0.0000 0.0000 0.5000
Mg1 Mg 0.5000 0.5000 0.1135
Mg2 Mg 0.5000 0.5000 0.3447
# - calculated formation energy (eV/atom) = -0.06
# - E_tot (eV/atom) = -2.1489

---

# LiTbMg3, relaxed, DFT PBE
data_LiTbMg3
_symmetry_space_group_name_H-M 'P 1'
_symmetry_Int_Tables_number 1
_cell_length_a 3.3402
_cell_length_b 8.0098
_cell_length_c 9.4615
_cell_angle_alpha 72.15
_cell_angle_beta 90.00
_cell_angle_gamma 89.98
loop_
_symmetry_equiv_pos_as_xyz
'x,y,z'
loop_
_atom_site_label
_atom_site_type_symbol
_atom_site_fract_x
_atom_site_fract_y
_atom_site_fract_z
Li1 Li 0.0000 0.0000 0.0000
Li2 Li 0.4981 0.0047 0.4981
Tb1 Tb 0.0001 0.6283 0.5905
Tb2 Tb 0.4996 0.3764 0.9078
Mg1 Mg 0.9995 0.1810 0.2271
Mg2 Mg 0.9998 0.1867 0.6788
Mg3 Mg 0.0008 0.6010 0.1076
Mg4 Mg 0.5004 0.8236 0.2702
Mg5 Mg 0.5015 0.4031 0.3911
Mg6 Mg 0.5018 0.8172 0.8207
# - offset from the most stable computed form (kJ/mol of atoms) = 0.00
# - calculated formation energy (eV/atom) = -0.01
# - E_tot (eV/atom) = -2.2803

---

# LiTb4Mg5, relaxed, DFT PBE
data_LiTb4Mg5
_symmetry_space_group_name_H-M 'P 4/m m m'
_symmetry_Int_Tables_number 123
_symmetry_space_group_name_Hall '-P 4 2'
_cell_length_a 3.7312
_cell_length_b 3.7312
_cell_length_c 18.9207
_cell_angle_alpha 90.00
_cell_angle_beta 90.00
_cell_angle_gamma 90.00
loop_
_atom_site_label
_atom_site_type_symbol
_atom_site_fract_x
_atom_site_fract_y
_atom_site_fract_z
Li1 Li 0.0000 0.0000 0.0000
Tb1 Tb 0.0000 0.0000 0.1959
Tb2 Tb 0.0000 0.0000 0.3971
Mg1 Mg 0.5000 0.5000 0.0868
Mg2 Mg 0.5000 0.5000 0.2961
Mg3 Mg 0.5000 0.5000 0.5000
# - calculated formation energy (eV/atom) = -0.07
# - E_tot (eV/atom) = -2.9096

---

# LiTb2Mg5, relaxed, DFT PBE
data_LiTb2Mg5
_symmetry_space_group_name_H-M 'I 4/m m m'
_symmetry_Int_Tables_number 139
_symmetry_space_group_name_Hall '-I 4 2'
_cell_length_a 4.9124
_cell_length_b 4.9124
_cell_length_c 16.5145
_cell_angle_alpha 90.00
_cell_angle_beta 90.00
_cell_angle_gamma 90.00
loop_
_atom_site_label
_atom_site_type_symbol
_atom_site_fract_x
_atom_site_fract_y
_atom_site_fract_z
Li1 Li 0.0000 0.0000 0.0000
Tb1 Tb 0.0000 0.0000 0.2542
Mg1 Mg 0.0000 0.0000 0.5000
Mg2 Mg 0.0000 0.5000 0.1110
# - calculated formation energy (eV/atom) = -0.04
# - E_tot (eV/atom) = -2.4378

---

Q: Number 8 is which compound?
A: LiTb2Mg5

---

Q: Look up the E_tot of the fifth one.
A: -2.1489 eV/atom

---

Q: calculated formation energy of number 7 (LiTb4Mg5)?
A: -0.07 eV/atom

---

Q: calculated formation energy of number 7 (LiTb4Mg5)?
A: -0.07 eV/atom